# PBE TlInSn4, relaxed
data_TlInSn4
_cell_length_a 8.3776
_cell_length_b 9.5569
_cell_length_c 5.5346
_cell_angle_alpha 90.00
_cell_angle_beta 130.37
_cell_angle_gamma 90.00
_space_group_name_H-M_alt 'C 1 2/m 1'
_space_group_IT_number 12
_space_group_name_Hall '-C 2y'
loop_
_atom_site_label
_atom_site_type_symbol
_atom_site_fract_x
_atom_site_fract_y
_atom_site_fract_z
Tl1 Tl 0.0000 0.0000 0.0000
In1 In 0.0000 0.5000 0.5000
Sn1 Sn 0.2490 0.3324 0.2496
# Total magnetization (μB/f.u.): 0.000
# Energy above the most stable polymorph in this dataset (meV/atom): 0
# ΔE_f (eV/atom): 0.028



# PBE LaPr3Ir, relaxed
data_LaPr3Ir
_cell_length_a 8.0185
_cell_length_b 6.7310
_cell_length_c 6.5318
_cell_angle_alpha 90.00
_cell_angle_beta 90.00
_cell_angle_gamma 90.00
_space_group_name_H-M_alt 'P m n 21'
_space_group_IT_number 31
_space_group_name_Hall 'P 2ac -2'
loop_
_atom_site_label
_atom_site_type_symbol
_atom_site_fract_x
_atom_site_fract_y
_atom_site_fract_z
La1 La 0.0000 0.1577 0.0000
Pr1 Pr 0.0000 0.8395 0.4885
Pr2 Pr 0.2483 0.6833 0.9975
Ir1 Ir 0.0000 0.4947 0.7489
# Total magnetization (μB/f.u.): 0.000
# Energy above the most stable polymorph in this dataset (meV/atom): 0
# ΔE_f (eV/atom): -0.250



# PBE K5RbO, relaxed
data_K5RbO
_cell_length_a 14.2923
_cell_length_b 11.4427
_cell_length_c 10.9378
_cell_angle_alpha 90.00
_cell_angle_beta 112.54
_cell_angle_gamma 90.00
_space_group_name_H-M_alt 'C 1 2/c 1'
_space_group_IT_number 15
_space_group_name_Hall '-C 2yc'
loop_
_atom_site_label
_atom_site_type_symbol
_atom_site_fract_x
_atom_site_fract_y
_atom_site_fract_z
K1 K 0.0000 0.0062 0.2500
K2 K 0.1400 0.1635 0.0666
K3 K 0.1415 0.1632 0.5749
Rb1 Rb 0.0000 0.4983 0.2500
O1 O 0.0000 0.0000 0.0000
# Energy relative to the elements, uncorrected (eV/atom): -0.43
# Total magnetization (μB/f.u.): 0.000



# PBE Sm6GaOs2, relaxed
data_Sm6GaOs2
_cell_length_a 9.6024
_cell_length_b 9.6802
_cell_length_c 10.4698
_cell_angle_alpha 90.00
_cell_angle_beta 90.00
_cell_angle_gamma 90.00
_space_group_name_H-M_alt 'I m m m'
_space_group_IT_number 71
_space_group_name_Hall '-I 2 2'
loop_
_atom_site_label
_atom_site_type_symbol
_atom_site_fract_x
_atom_site_fract_y
_atom_site_fract_z
Sm1 Sm 0.0000 0.1989 0.2438
Sm2 Sm 0.1876 0.5000 0.1694
Sm3 Sm 0.2255 0.3191 0.5000
Ga1 Ga 0.0000 0.0000 0.0000
Ga2 Ga 0.0000 0.0000 0.5000
Os1 Os 0.0000 0.3254 0.0000
Os2 Os 0.0000 0.5000 0.3813
# Total magnetization (μB/f.u.): 0.000
# ΔE_f (eV/atom): -0.235